Density functional theory data (PBE) for crystalline Ce6SbRh at its relaxed geometry.

* calculated volume: 25.78 Å³ per atom
* uncorrected formation energy: -0.178 eV per atom
* total moment: 0.0 μB/cell

Cell: 6.3180 7.1068 6.4932 Å, 56.82 72.99 57.68°
Last column: nearest neighbours and their distance in Å.
Fractional coordinates of all 8 atoms:
Ce 0.7003 0.7380 0.0000  1 Rh 2.60
Ce 0.7270 0.0720 0.4751  2 Ce 2.69-2.92, 1 Rh 2.91
Ce 0.2730 0.4529 0.4751  2 Ce 2.69-2.92, 1 Rh 2.91
Ce 0.2730 0.9280 0.5249  2 Ce 2.69-2.92, 1 Rh 2.91
Ce 0.7270 0.5471 0.5249  2 Ce 2.69-2.92, 1 Rh 2.91
Ce 0.2997 0.2620 0.0000  1 Rh 2.60
Sb 0.0000 0.0000 0.0000  6 Ce 3.23-3.29, 2 Rh 3.26
Rh 0.5000 0.5000 0.0000  2 Ce 2.60

***

Density functional theory data (PBE) for crystalline CeSbRh3 at its relaxed geometry.

* calculated volume: 19.08 Å³ per atom
* uncorrected formation energy: -0.611 eV per atom
* total moment: 0.2 μB/cell
* energy above the most stable polymorph in this dataset: 0.0 meV/atom

Cell: 5.6727 8.6487 6.4701 Å, 131.94 116.00 90.00°
Last column: nearest neighbours and their distance in Å.
Fractional coordinates of all 10 atoms:
Rh 0.7500 0.0292 0.5000  1 Ce 2.49, 2 Sb 2.72
Rh 0.8153 0.3153 0.1306  2 Sb 2.64, 5 Rh 2.84-2.87, 2 Ce 2.90
Rh 0.1847 0.6847 0.8694  2 Sb 2.64, 5 Rh 2.84-2.87, 2 Ce 2.90
Rh 0.6847 0.6847 0.8694  2 Sb 2.64, 5 Rh 2.84-2.87, 2 Ce 2.90
Rh 0.3153 0.3153 0.1306  2 Sb 2.64, 5 Rh 2.84-2.87, 2 Ce 2.90
Rh 0.2500 0.9708 0.5000  1 Ce 2.49, 2 Sb 2.72
Ce 0.2500 0.2590 0.5000  1 Rh 2.49
Ce 0.7500 0.7410 0.5000  1 Rh 2.49
Sb 0.5000 0.0000 0.0000  6 Rh 2.64-2.72
Sb 0.0000 0.5000 0.0000  6 Rh 2.64-2.72

***

Density functional theory data (PBE) for crystalline CeSb6Rh12 at its relaxed geometry.

* calculated volume: 18.60 Å³ per atom
* uncorrected formation energy: -0.304 eV per atom
* total moment: 0.6 μB/cell

Cell: 7.5219 7.5219 7.5219 Å, 107.10 107.10 107.10°
Last column: nearest neighbours and their distance in Å.
Fractional coordinates of all 19 atoms:
Sb 0.7323 0.2964 0.7323  7 Rh 2.55-2.76
Sb 0.2677 0.7036 0.2677  7 Rh 2.55-2.76
Sb 0.2677 0.2677 0.7036  7 Rh 2.55-2.76
Sb 0.7036 0.2677 0.2677  7 Rh 2.55-2.76
Sb 0.2964 0.7323 0.7323  7 Rh 2.55-2.76
Sb 0.7323 0.7323 0.2964  7 Rh 2.55-2.76
Ce 0.0000 0.0000 0.0000  6 Rh 3.10
Rh 0.8764 0.1236 0.5000  4 Sb 2.55-2.58
Rh 0.8764 0.5000 0.1236  4 Sb 2.55-2.58
Rh 0.6058 0.6058 0.8353  3 Sb 2.67-2.76, 4 Rh 2.78-2.97
Rh 0.5000 0.1236 0.8764  4 Sb 2.55-2.58
Rh 0.1647 0.3942 0.3942  3 Sb 2.67-2.76, 4 Rh 2.78-2.97
Rh 0.5000 0.8764 0.1236  4 Sb 2.55-2.58
Rh 0.3942 0.1647 0.3942  3 Sb 2.67-2.76, 4 Rh 2.78-2.97
Rh 0.1236 0.8764 0.5000  4 Sb 2.55-2.58
Rh 0.3942 0.3942 0.1647  3 Sb 2.67-2.76, 4 Rh 2.78-2.97
Rh 0.1236 0.5000 0.8764  4 Sb 2.55-2.58
Rh 0.6058 0.8353 0.6058  3 Sb 2.67-2.76, 4 Rh 2.78-2.97
Rh 0.8353 0.6058 0.6058  3 Sb 2.67-2.76, 4 Rh 2.78-2.97

***

Density functional theory data (PBE) for crystalline CeSbRh3 at its relaxed geometry.

* calculated volume: 18.80 Å³ per atom
* uncorrected formation energy: -0.571 eV per atom
* total moment: 0.7 μB/cell
* energy above the most stable polymorph in this dataset: 40.9 meV/atom

Cell: 5.1209 5.7785 6.9783 Å, 114.46 90.00 90.00°
Last column: nearest neighbours and their distance in Å.
Fractional coordinates of all 10 atoms:
Rh 0.7500 0.6086 0.6884  1 Sb 2.55, 3 Rh 2.72
Rh 0.0000 0.0000 0.0000  6 Rh 2.56-2.72, 2 Sb 2.66
Rh 0.7500 0.0799 0.6884  1 Sb 2.55, 3 Rh 2.72
Rh 0.5000 0.0000 0.0000  6 Rh 2.56-2.72, 2 Sb 2.66
Rh 0.2500 0.3914 0.3116  1 Sb 2.55, 3 Rh 2.72
Rh 0.2500 0.9201 0.3116  1 Sb 2.55, 3 Rh 2.72
Sb 0.2500 0.8166 0.6331  4 Rh 2.55-2.66
Sb 0.7500 0.1834 0.3669  4 Rh 2.55-2.66
Ce 0.7500 0.5811 0.1623  10 Rh 3.13-3.38, 2 Sb 3.17, 2 Ce 3.29
Ce 0.2500 0.4189 0.8377  10 Rh 3.13-3.38, 2 Sb 3.17, 2 Ce 3.29

***

Density functional theory data (PBE) for crystalline Ce4SbRh at its relaxed geometry.

* calculated volume: 25.61 Å³ per atom
* uncorrected formation energy: -0.558 eV per atom
* total moment: 2.4 μB/cell

Cell: 5.8149 7.9530 8.1741 Å, 110.87 100.23 111.48°
Last column: nearest neighbours and their distance in Å.
Fractional coordinates of all 12 atoms:
Ce 0.6928 0.1112 0.3880  1 Ce 2.73
Ce 0.2831 0.6264 0.8404  2 Rh 2.75-2.97, 1 Ce 3.05
Ce 0.1952 0.2768 0.3880  1 Ce 2.73
Ce 0.7169 0.3736 0.1596  2 Rh 2.75-2.97, 1 Ce 3.05
Ce 0.8048 0.7232 0.6120  1 Ce 2.73
Ce 0.9426 0.7860 0.1596  2 Rh 2.75-2.97, 1 Ce 3.05
Ce 0.3072 0.8888 0.6120  1 Ce 2.73
Ce 0.0574 0.2140 0.8404  2 Rh 2.75-2.97, 1 Ce 3.05
Sb 0.6297 0.3797 0.7595  10 Ce 3.20-3.38
Sb 0.3703 0.6203 0.2405  10 Ce 3.20-3.38
Rh 0.2643 0.0143 0.0287  4 Ce 2.75-2.97, 2 Rh 2.94
Rh 0.7357 0.9857 0.9713  4 Ce 2.75-2.97, 2 Rh 2.94

***

Density functional theory data (PBE) for crystalline Ce4Sb6Rh7 at its relaxed geometry.

* calculated volume: 20.71 Å³ per atom
* uncorrected formation energy: -0.813 eV per atom
* total moment: 3.2 μB/cell

Cell: 7.7045 7.7045 7.7045 Å, 109.47 109.47 109.47°
Last column: nearest neighbours and their distance in Å.
Fractional coordinates of all 17 atoms:
Rh 0.5000 0.2500 0.7500  4 Sb 2.76
Rh 0.0000 0.0000 0.0000  6 Sb 2.82
Rh 0.2500 0.5000 0.7500  4 Sb 2.76
Rh 0.7500 0.5000 0.2500  4 Sb 2.76
Rh 0.7500 0.2500 0.5000  4 Sb 2.76
Rh 0.2500 0.7500 0.5000  4 Sb 2.76
Rh 0.5000 0.7500 0.2500  4 Sb 2.76
Sb 0.6833 0.6833 0.0000  5 Rh 2.76-2.82
Sb 0.0000 0.3167 0.3167  5 Rh 2.76-2.82
Sb 0.3167 0.3167 0.0000  5 Rh 2.76-2.82
Sb 0.6833 0.0000 0.6833  5 Rh 2.76-2.82
Sb 0.3167 0.0000 0.3167  5 Rh 2.76-2.82
Sb 0.0000 0.6833 0.6833  5 Rh 2.76-2.82
Ce 0.0000 0.5000 0.0000  6 Rh 3.15, 6 Sb 3.20
Ce 0.0000 0.0000 0.5000  6 Rh 3.15, 6 Sb 3.20
Ce 0.5000 0.5000 0.5000  6 Rh 3.15, 6 Sb 3.20
Ce 0.5000 0.0000 0.0000  6 Rh 3.15, 6 Sb 3.20

***

Density functional theory data (PBE) for crystalline CeSb3Rh at its relaxed geometry.

* calculated volume: 24.22 Å³ per atom
* uncorrected formation energy: -0.703 eV per atom
* total moment: 1.1 μB/cell

Cell: 6.0931 6.2495 12.7201 Å, 90.00 90.00 90.00°
Last column: nearest neighbours and their distance in Å.
Fractional coordinates of all 20 atoms:
Ce 0.2500 0.0014 0.6946  9 Sb 3.17-3.31, 2 Rh 3.44
Ce 0.2500 0.5014 0.3054  9 Sb 3.17-3.31, 2 Rh 3.44
Ce 0.7500 0.4986 0.6946  9 Sb 3.17-3.31, 2 Rh 3.44
Ce 0.7500 0.9986 0.3054  9 Sb 3.17-3.31, 2 Rh 3.44
Rh 0.0000 0.7500 0.9036  6 Sb 2.68-2.79
Rh 0.5000 0.7500 0.9036  6 Sb 2.68-2.79
Rh 0.5000 0.2500 0.0964  6 Sb 2.68-2.79
Rh 0.0000 0.2500 0.0964  6 Sb 2.68-2.79
Sb 0.7500 0.3946 0.9385  4 Rh 2.68-2.73
Sb 0.5000 0.7500 0.5019  4 Sb 3.05-3.13, 4 Ce 3.29-3.31
Sb 0.7500 0.8946 0.0616  4 Rh 2.68-2.73
Sb 0.0000 0.2500 0.4981  4 Sb 3.05-3.13, 4 Ce 3.29-3.31
Sb 0.5000 0.2500 0.4981  4 Sb 3.05-3.13, 4 Ce 3.29-3.31
Sb 0.2500 0.6054 0.0615  4 Rh 2.68-2.73
Sb 0.2500 0.1054 0.9384  4 Rh 2.68-2.73
Sb 0.0000 0.7500 0.5019  4 Sb 3.05-3.13, 4 Ce 3.29-3.31
Sb 0.2500 0.4984 0.7672  2 Rh 2.79
Sb 0.2500 0.9984 0.2328  2 Rh 2.79
Sb 0.7500 0.0016 0.7672  2 Rh 2.79
Sb 0.7500 0.5016 0.2328  2 Rh 2.79

***

Density functional theory data (PBE) for crystalline CeSb2Rh4 at its relaxed geometry.

* calculated volume: 18.83 Å³ per atom
* uncorrected formation energy: -0.571 eV per atom
* total moment: 1.4 μB/cell
* energy above the most stable polymorph in this dataset: 35.4 meV/atom

Cell: 4.1555 7.9657 7.9657 Å, 90.00 90.00 90.00°
Last column: nearest neighbours and their distance in Å.
Fractional coordinates of all 14 atoms:
Rh 0.0000 0.9113 0.6481  3 Sb 2.64-2.67, 5 Rh 2.75-2.85
Rh 0.5000 0.8519 0.4113  3 Sb 2.64-2.67, 5 Rh 2.75-2.85
Rh 0.5000 0.4113 0.8519  3 Sb 2.64-2.67, 5 Rh 2.75-2.85
Rh 0.5000 0.1481 0.5887  3 Sb 2.64-2.67, 5 Rh 2.75-2.85
Rh 0.5000 0.5887 0.1481  3 Sb 2.64-2.67, 5 Rh 2.75-2.85
Rh 0.0000 0.0887 0.3519  3 Sb 2.64-2.67, 5 Rh 2.75-2.85
Rh 0.0000 0.6481 0.9113  3 Sb 2.64-2.67, 5 Rh 2.75-2.85
Rh 0.0000 0.3519 0.0887  3 Sb 2.64-2.67, 5 Rh 2.75-2.85
Sb 0.5000 0.7197 0.7197  6 Rh 2.64-2.67
Sb 0.0000 0.7803 0.2197  6 Rh 2.64-2.67
Sb 0.0000 0.2197 0.7803  6 Rh 2.64-2.67
Sb 0.5000 0.2803 0.2803  6 Rh 2.64-2.67
Ce 0.0000 0.5000 0.5000  6 Sb 3.16-3.23, 4 Rh 3.48
Ce 0.5000 0.0000 0.0000  6 Sb 3.16-3.23, 4 Rh 3.48

***

Density functional theory data (PBE) for crystalline CeSb3Rh3 at its relaxed geometry.

* calculated volume: 26.04 Å³ per atom
* uncorrected formation energy: -0.224 eV per atom
* total moment: 3.0 μB/cell

Cell: 7.1434 7.1434 7.1434 Å, 90.00 90.00 90.00°
Last column: nearest neighbours and their distance in Å.
Fractional coordinates of all 14 atoms:
Sb 0.0000 0.5000 0.7500  4 Rh 2.53
Sb 0.2500 0.0000 0.5000  4 Rh 2.53
Sb 0.0000 0.5000 0.2500  4 Rh 2.53
Sb 0.7500 0.0000 0.5000  4 Rh 2.53
Sb 0.5000 0.2500 0.0000  4 Rh 2.53
Sb 0.5000 0.7500 0.0000  4 Rh 2.53
Ce 0.5000 0.5000 0.5000  12 Sb 3.99, 12 Rh 3.99
Ce 0.0000 0.0000 0.0000  12 Sb 3.99, 12 Rh 3.99
Rh 0.5000 0.0000 0.7500  4 Sb 2.53
Rh 0.0000 0.2500 0.5000  4 Sb 2.53
Rh 0.5000 0.0000 0.2500  4 Sb 2.53
Rh 0.2500 0.5000 0.0000  4 Sb 2.53
Rh 0.7500 0.5000 0.0000  4 Sb 2.53
Rh 0.0000 0.7500 0.5000  4 Sb 2.53

***

Density functional theory data (PBE) for crystalline Ce8Sb2Rh at its relaxed geometry.

* calculated volume: 27.26 Å³ per atom
* uncorrected formation energy: -0.430 eV per atom
* total moment: 5.3 μB/cell

Cell: 5.5575 6.4651 9.6257 Å, 113.98 106.78 90.00°
Last column: nearest neighbours and their distance in Å.
Fractional coordinates of all 11 atoms:
Ce 0.6041 0.4684 0.2082  1 Rh 2.81, 2 Ce 2.82-2.83
Ce 0.7727 0.6892 0.5455  1 Ce 2.82
Ce 0.0023 0.2249 0.0046  1 Ce 2.87, 2 Rh 3.13
Ce 0.3643 0.0634 0.7285  1 Rh 2.70, 1 Ce 2.83
Ce 0.2273 0.3108 0.4545  1 Ce 2.82
Ce 0.9977 0.7751 0.9954  1 Ce 2.87, 2 Rh 3.13
Ce 0.6357 0.9366 0.2715  1 Rh 2.70, 1 Ce 2.83
Ce 0.3959 0.5316 0.7918  1 Rh 2.81, 2 Ce 2.82-2.83
Sb 0.8275 0.2687 0.6550  11 Ce 3.22-3.44
Sb 0.1725 0.7313 0.3450  11 Ce 3.22-3.44
Rh 0.5000 0.0000 0.0000  4 Ce 2.70-2.81

***

Density functional theory data (PBE) for crystalline CeSb2Rh at its relaxed geometry.

* calculated volume: 24.66 Å³ per atom
* uncorrected formation energy: -0.149 eV per atom
* total moment: 1.1 μB/cell

Cell: 3.3439 3.3439 10.3692 Å, 80.72 80.72 60.00°
Last column: nearest neighbours and their distance in Å.
Fractional coordinates of all 4 atoms:
Ce 0.0000 0.0000 0.0000  2 Sb 3.18, 6 Ce 3.34
Rh 0.5000 0.5000 0.5000  6 Sb 2.72
Sb 0.8959 0.8959 0.3123  3 Rh 2.72
Sb 0.1041 0.1041 0.6877  3 Rh 2.72

***

Density functional theory data (PBE) for crystalline Ce3Sb4Rh7 at its relaxed geometry.

* calculated volume: 19.86 Å³ per atom
* uncorrected formation energy: -0.772 eV per atom
* total moment: 0.9 μB/cell

Cell: 4.3107 8.5607 8.4558 Å, 69.49 75.23 75.42°
Last column: nearest neighbours and their distance in Å.
Fractional coordinates of all 14 atoms:
Rh 0.6991 0.1532 0.4486  4 Sb 2.61-2.70
Rh 0.4973 0.2091 0.7962  3 Sb 2.67-2.78, 4 Rh 2.80-2.94, 1 Ce 2.85
Rh 0.8634 0.3598 0.9133  3 Sb 2.66-2.75, 3 Rh 2.80-2.85
Rh 0.1366 0.6402 0.0867  3 Sb 2.66-2.75, 3 Rh 2.80-2.85
Rh 0.3009 0.8468 0.5514  4 Sb 2.61-2.70
Rh 0.0000 0.0000 0.0000  2 Sb 2.69, 6 Rh 2.85-2.94
Rh 0.5027 0.7909 0.2038  3 Sb 2.67-2.78, 4 Rh 2.80-2.94, 1 Ce 2.85
Sb 0.8850 0.8850 0.3449  6 Rh 2.61-2.70
Sb 0.3308 0.5462 0.7923  5 Rh 2.66-2.78
Sb 0.1150 0.1150 0.6551  6 Rh 2.61-2.70
Sb 0.6692 0.4538 0.2077  5 Rh 2.66-2.78
Ce 0.3345 0.1773 0.1538  8 Rh 2.85-3.19
Ce 0.0000 0.5000 0.5000  6 Sb 3.05-3.33, 2 Rh 3.22
Ce 0.6655 0.8227 0.8462  8 Rh 2.85-3.19

***

Repeat the seventh record exactly.
Density functional theory data (PBE) for crystalline CeSb3Rh at its relaxed geometry.

* calculated volume: 24.22 Å³ per atom
* uncorrected formation energy: -0.703 eV per atom
* total moment: 1.1 μB/cell

Cell: 6.0931 6.2495 12.7201 Å, 90.00 90.00 90.00°
Last column: nearest neighbours and their distance in Å.
Fractional coordinates of all 20 atoms:
Ce 0.2500 0.0014 0.6946  9 Sb 3.17-3.31, 2 Rh 3.44
Ce 0.2500 0.5014 0.3054  9 Sb 3.17-3.31, 2 Rh 3.44
Ce 0.7500 0.4986 0.6946  9 Sb 3.17-3.31, 2 Rh 3.44
Ce 0.7500 0.9986 0.3054  9 Sb 3.17-3.31, 2 Rh 3.44
Rh 0.0000 0.7500 0.9036  6 Sb 2.68-2.79
Rh 0.5000 0.7500 0.9036  6 Sb 2.68-2.79
Rh 0.5000 0.2500 0.0964  6 Sb 2.68-2.79
Rh 0.0000 0.2500 0.0964  6 Sb 2.68-2.79
Sb 0.7500 0.3946 0.9385  4 Rh 2.68-2.73
Sb 0.5000 0.7500 0.5019  4 Sb 3.05-3.13, 4 Ce 3.29-3.31
Sb 0.7500 0.8946 0.0616  4 Rh 2.68-2.73
Sb 0.0000 0.2500 0.4981  4 Sb 3.05-3.13, 4 Ce 3.29-3.31
Sb 0.5000 0.2500 0.4981  4 Sb 3.05-3.13, 4 Ce 3.29-3.31
Sb 0.2500 0.6054 0.0615  4 Rh 2.68-2.73
Sb 0.2500 0.1054 0.9384  4 Rh 2.68-2.73
Sb 0.0000 0.7500 0.5019  4 Sb 3.05-3.13, 4 Ce 3.29-3.31
Sb 0.2500 0.4984 0.7672  2 Rh 2.79
Sb 0.2500 0.9984 0.2328  2 Rh 2.79
Sb 0.7500 0.0016 0.7672  2 Rh 2.79
Sb 0.7500 0.5016 0.2328  2 Rh 2.79